Density functional theory data (PBE+U) for a relaxed structure of KWOF2.

distance to the lowest polymorph of the same formula = 1870 meV per atom
space group = P4/mmm (123)

Unit cell a=4.5690 b=4.5690 c=4.6499 alpha=90.00 beta=90.00 gamma=90.00
Last column: nearest neighbours and their distance in Å.
Element x y z (fractional)
1 K 0.0000 0.0000 0.0000  4 F 2.28, 2 O 2.32
2 F 0.0000 0.5000 0.0000  2 K 2.28
3 F 0.5000 0.0000 0.0000  2 K 2.28
4 O 0.0000 0.0000 0.5000  2 K 2.32
5 W 0.5000 0.5000 0.5000  4 O 3.23, 8 F 3.26